# 1
DFT (GGA-PBE) results for an optimized crystal structure of Mn2AlRh. Values from VASP.

Properties
The calculation puts the formation energy at -0.358 eV per atom.

Quantum ESPRESSO input file:
```
&SYSTEM
  ibrav = 0, nat = 4, ntyp = 3
/
ATOMIC_SPECIES
Mn 54.94 Mn.upf
Al 26.98 Al.upf
Rh 102.91 Rh.upf
CELL_PARAMETERS angstrom
3.042 0.000 0.000
0.000 4.093 0.000
0.000 0.000 4.235
ATOMIC_POSITIONS crystal
Mn 0.000 0.000 0.000
Mn 0.500 0.500 0.000
Al 0.000 0.500 0.500
Rh 0.500 0.000 0.500
```

# 2
DFT (GGA-PBE) results for an optimized crystal structure of Mg2Cu2Pb. Values from VASP.

Properties
The calculation puts the formation energy at 0.027 eV per atom.

Quantum ESPRESSO input file:
```
&SYSTEM
  ibrav = 0, nat = 5, ntyp = 3
/
ATOMIC_SPECIES
Mg 24.30 Mg.upf
Cu 63.55 Cu.upf
Pb 207.20 Pb.upf
CELL_PARAMETERS angstrom
-1.717 1.717 8.636
1.717 -1.717 8.636
1.717 1.717 -8.636
ATOMIC_POSITIONS crystal
Mg 0.127 0.127 0.000
Mg 0.873 0.873 0.000
Cu 0.250 0.750 0.500
Cu 0.750 0.250 0.500
Pb 0.500 0.500 0.000
```

# 3
DFT (GGA-PBE) results for an optimized crystal structure of Pm3Y2Mg3. Values from VASP.

Properties
The calculation puts the formation energy at -0.071 eV per atom.

Quantum ESPRESSO input file:
```
&SYSTEM
  ibrav = 0, nat = 8, ntyp = 3
/
ATOMIC_SPECIES
Pm 145.00 Pm.upf
Y 88.91 Y.upf
Mg 24.30 Mg.upf
CELL_PARAMETERS angstrom
-1.906 2.769 11.313
1.906 -2.769 11.313
1.906 2.769 -11.313
ATOMIC_POSITIONS crystal
Pm 0.000 0.000 0.000
Pm 0.375 0.875 0.500
Pm 0.625 0.125 0.500
Y 0.235 0.235 0.000
Y 0.765 0.765 0.000
Mg 0.118 0.618 0.500
Mg 0.500 0.500 0.000
Mg 0.882 0.382 0.500
```

# 4
DFT (GGA-PBE) results for an optimized crystal structure of K4In. Values from VASP.

Properties
Its energy relative to the lowest polymorph listed for this composition is 17.3 meV per atom. The calculation puts the formation energy at 0.060 eV per atom.

Quantum ESPRESSO input file:
```
&SYSTEM
  ibrav = 0, nat = 5, ntyp = 2
/
ATOMIC_SPECIES
K 39.10 K.upf
In 114.82 In.upf
CELL_PARAMETERS angstrom
-4.277 4.277 4.277
4.277 -4.277 4.277
4.277 4.277 -4.277
ATOMIC_POSITIONS crystal
K 0.000 0.000 0.500
K 0.000 0.500 0.000
K 0.500 0.000 0.000
K 0.500 0.500 0.500
In 0.000 0.000 0.000
```

# 5
DFT (GGA-PBE) results for an optimized crystal structure of BeTe2Se. Values from VASP.

Properties
Its energy relative to the lowest polymorph listed for this composition is 183.0 meV per atom. For the formation energy from raw total energies, the calculation gives 0.181 eV/atom.

Quantum ESPRESSO input file:
```
&SYSTEM
  ibrav = 0, nat = 4, ntyp = 3
/
ATOMIC_SPECIES
Be 9.01 Be.upf
Te 127.60 Te.upf
Se 78.96 Se.upf
CELL_PARAMETERS angstrom
4.044 0.000 0.000
0.000 4.044 0.000
0.000 0.000 6.002
ATOMIC_POSITIONS crystal
Be 0.000 0.000 0.000
Te 0.000 0.000 0.416
Te 0.500 0.500 0.935
Se 0.500 0.500 0.434
```

# 6
DFT (GGA-PBE) results for an optimized crystal structure of La4ThTl2. Values from VASP.

Properties
The calculation puts the formation energy at -0.135 eV per atom.

Quantum ESPRESSO input file:
```
&SYSTEM
  ibrav = 0, nat = 7, ntyp = 3
/
ATOMIC_SPECIES
La 138.91 La.upf
Th 232.04 Th.upf
Tl 204.38 Tl.upf
CELL_PARAMETERS angstrom
4.457 -5.348 0.000
4.457 5.348 0.000
0.000 0.000 5.090
ATOMIC_POSITIONS crystal
La 0.000 0.500 0.500
La 0.208 0.208 0.000
La 0.500 0.000 0.500
La 0.792 0.792 0.000
Th 0.500 0.500 0.500
Tl 0.284 0.716 0.000
Tl 0.716 0.284 0.000
```

# 7
DFT (GGA-PBE) results for an optimized crystal structure of BaNaEu. Values from VASP.

Properties
Its energy relative to the lowest polymorph listed for this composition is 0.0 meV per atom. The calculation puts the formation energy at 0.067 eV per atom.

Quantum ESPRESSO input file:
```
&SYSTEM
  ibrav = 0, nat = 3, ntyp = 3
/
ATOMIC_SPECIES
Ba 137.33 Ba.upf
Na 22.99 Na.upf
Eu 151.96 Eu.upf
CELL_PARAMETERS angstrom
-2.180 2.180 7.720
2.180 -2.180 7.720
2.180 2.180 -7.720
ATOMIC_POSITIONS crystal
Ba 0.000 0.000 0.000
Na 0.335 0.335 0.000
Eu 0.691 0.691 0.000
```

# 8
DFT (GGA-PBE) results for an optimized crystal structure of AcGd2Bi. Values from VASP.

Properties
Its energy relative to the lowest polymorph listed for this composition is 0.0 meV per atom. The calculation puts the formation energy at -0.395 eV per atom.

Quantum ESPRESSO input file:
```
&SYSTEM
  ibrav = 0, nat = 4, ntyp = 3
/
ATOMIC_SPECIES
Ac 227.00 Ac.upf
Gd 157.25 Gd.upf
Bi 208.98 Bi.upf
CELL_PARAMETERS angstrom
4.097 0.000 0.000
0.000 4.097 0.000
0.000 0.000 7.955
ATOMIC_POSITIONS crystal
Ac 0.000 0.000 0.000
Gd 0.500 0.500 0.291
Gd 0.500 0.500 0.709
Bi 0.000 0.000 0.500
```

# 9
DFT (GGA-PBE) results for an optimized crystal structure of TbDy2Y6Th. Values from VASP.

Properties
The calculation puts the formation energy at 0.150 eV per atom.

Quantum ESPRESSO input file:
```
&SYSTEM
  ibrav = 0, nat = 20, ntyp = 4
/
ATOMIC_SPECIES
Tb 158.93 Tb.upf
Dy 162.50 Dy.upf
Y 88.91 Y.upf
Th 232.04 Th.upf
CELL_PARAMETERS angstrom
4.638 -7.496 0.000
4.638 7.496 0.000
-1.003 0.000 9.384
ATOMIC_POSITIONS crystal
Tb 0.089 0.911 0.750
Tb 0.911 0.089 0.250
Dy 0.201 0.300 0.946
Dy 0.300 0.201 0.446
Dy 0.700 0.799 0.554
Dy 0.799 0.700 0.054
Y 0.018 0.792 0.389
Y 0.069 0.512 0.184
Y 0.208 0.982 0.111
Y 0.264 0.618 0.559
Y 0.382 0.736 0.941
Y 0.488 0.931 0.316
Y 0.512 0.069 0.684
Y 0.618 0.264 0.059
Y 0.736 0.382 0.441
Y 0.792 0.018 0.889
Y 0.931 0.488 0.816
Y 0.982 0.208 0.611
Th 0.468 0.532 0.250
Th 0.532 0.468 0.750
```

# 10
DFT (GGA-PBE) results for an optimized crystal structure of Pr2Nd2ErTm. Values from VASP.

Properties
The calculation puts the formation energy at 0.062 eV per atom.

Quantum ESPRESSO input file:
```
&SYSTEM
  ibrav = 0, nat = 12, ntyp = 4
/
ATOMIC_SPECIES
Pr 140.91 Pr.upf
Nd 144.24 Nd.upf
Er 167.26 Er.upf
Tm 168.93 Tm.upf
CELL_PARAMETERS angstrom
7.101 0.000 0.000
0.000 5.731 0.000
0.000 0.000 9.927
ATOMIC_POSITIONS crystal
Pr 0.000 0.000 0.000
Pr 0.250 0.500 0.178
Pr 0.500 0.000 0.000
Pr 0.750 0.500 0.822
Nd 0.250 0.000 0.333
Nd 0.250 0.500 0.835
Nd 0.750 0.000 0.667
Nd 0.750 0.500 0.165
Er 0.250 0.000 0.658
Er 0.750 0.000 0.342
Tm 0.000 0.500 0.500
Tm 0.500 0.500 0.500
```

# 11
DFT (GGA-PBE) results for an optimized crystal structure of Ti2NbFe. Values from VASP.

Properties
Its energy relative to the lowest polymorph listed for this composition is 0.0 meV per atom. The calculation puts the formation energy at -0.172 eV per atom.

Quantum ESPRESSO input file:
```
&SYSTEM
  ibrav = 0, nat = 4, ntyp = 3
/
ATOMIC_SPECIES
Ti 47.87 Ti.upf
Nb 92.91 Nb.upf
Fe 55.84 Fe.upf
CELL_PARAMETERS angstrom
2.978 0.000 0.000
0.000 2.978 0.000
0.000 0.000 6.896
ATOMIC_POSITIONS crystal
Ti 0.000 0.000 0.212
Ti 0.000 0.000 0.788
Nb 0.500 0.500 0.500
Fe 0.500 0.500 0.000
```

Table of raw total energy (eV/atom), in record order: -7.72, -2.99, -4.07, -1.37, -3.19, -4.69, -4.44, -9.43, -5.85, -4.63, -8.75